A geometry-optimized Sm4Dy2Se9 structure. Source: Alexandria via LeMat-Bulk, functional PBE.

Calculated values
VASP energy (eV per atom): -5.824
Formation energy from raw total energies (eV per atom): -1.861

abc: 7.3196 7.3232 19.6684
angles: 89.99 89.96 60.06
Space group P-1 (No. 2)
Symmetry-distinct sites (fractional):
Sm: 0.1656 0.1669 0.1822
Sm: 0.1659 0.1667 0.9826
Sm: 0.1672 0.1664 0.4819
Sm: 0.1678 0.1662 0.6826
Dy: 0.4987 0.5019 0.1525
Dy: 0.4998 0.4986 0.3479
Se: 0.1415 0.5346 0.4171
Se: 0.1442 0.8232 0.9168
Se: 0.1754 0.4676 0.0831
Se: 0.1762 0.8582 0.5830
Se: 0.2018 0.5005 0.7499
Se: 0.2015 0.7991 0.2504
Se: 0.4657 0.1782 0.5827
Se: 0.4664 0.8578 0.0826
Se: 0.4986 0.2018 0.2499